This record from the Alexandria database describes a relaxed structure of Nd2AlMo. The functional is PBE.

CIF file:
```
data_Nd2AlMo
_symmetry_space_group_name_H-M 'R -3 m'
_symmetry_Int_Tables_number 166
_symmetry_space_group_name_Hall '-R 3 2"'
_cell_length_a 3.1768
_cell_length_b 3.1768
_cell_length_c 33.5058
_cell_angle_alpha 90.00
_cell_angle_beta 90.00
_cell_angle_gamma 120.00
loop_
_atom_site_label
_atom_site_fract_x
_atom_site_fract_y
_atom_site_fract_z
Nd1 0.0000 0.0000 0.0863
Al1 0.0000 0.0000 0.5000
Mo1 0.0000 0.0000 0.0000
```

Output
DOS at the Fermi energy = 18.77 states/eV/cell
E_tot = -5.341 eV/atom